Entry 1:
Density functional theory data (PBE) for a relaxed Ba4NaPm3Se8 crystal.

It has space group R-3m (No. 166, hexagonal axes), with a = 8.8474 Å, b = 8.8474 Å, c = 22.0926 Å, α = 90.00°, β = 90.00° and γ = 120.00°. The asymmetric unit holds Ba at (0.0000, 0.0000, 0.0000), Ba at (0.0000, 0.5000, 0.0000), Na at (0.0000, 0.0000, 0.5000), Pm at (0.0000, 0.5000, 0.5000), Se at (0.0000, 0.0000, 0.2402) and Se at (0.0070, 0.5035, 0.7598).

Its raw total energy is -243.4 eV/cell. The raw formation energy is -1875 meV/atom.



Entry 2:
Density functional theory data (PBE) for a relaxed Ba4NaPm3Te8 crystal.

It has space group R-3m (No. 166, hexagonal axes), with a = 9.4150 Å, b = 9.4150 Å, c = 23.4362 Å, α = 90.00°, β = 90.00° and γ = 120.00°. The asymmetric unit holds Ba at (0.0000, 0.0000, 0.0000), Ba at (0.0000, 0.5000, 0.0000), Na at (0.0000, 0.0000, 0.5000), Pm at (0.0000, 0.5000, 0.5000), Te at (0.0000, 0.0000, 0.2408) and Te at (0.0047, 0.5023, 0.7594).

Its raw total energy is -219.8 eV/cell. The raw formation energy is -1554 meV/atom.



Entry 3:
Density functional theory data (PBE) for a relaxed BaNaPmTl crystal.

It has space group F-43m (No. 216), with a = 8.278 Å, b = 8.278 Å, c = 8.278 Å, α = 90.00°, β = 90.00° and γ = 90.00°. The asymmetric unit holds Ba at (0.000, 0.000, 0.000), Na at (0.250, 0.250, 0.250), Pm at (0.000, 0.000, 0.500) and Tl at (0.250, 0.250, 0.750).

Its raw total energy is -42.3 eV/cell. Its formation enthalpy at 0 K is -0.054 eV per atom.



Entry 4:
Density functional theory data (PBE) for a relaxed BaNa4Pr crystal.

It has space group F-43m (No. 216), with a = 9.826 Å, b = 9.826 Å, c = 9.826 Å, α = 90.00°, β = 90.00° and γ = 90.00°. The asymmetric unit holds Ba at (0.000, 0.000, 0.000), Na at (0.124, 0.124, 0.376) and Pr at (0.250, 0.250, 0.750).

Its raw total energy is -43.9 eV/cell. Its formation enthalpy at 0 K is 0.167 eV per atom.



Q: Number 1 is which compound?
A: Ba4NaPm3Se8



Q: Which of these has the lowest raw total energy?
A: Ba4NaPm3Se8